1.
AlSbPCl2: relaxed, PBE-GGA.

Properties
uncorrected energy: -3.1943 eV per atom
energy relative to the elements, uncorrected: 0.1994 eV/atom

Geometry as CIF:
```
data_AlSbPCl2
_space_group_name_H-M_alt 'P 4/m m m'
_space_group_IT_number 123
_space_group_name_Hall '-P 4 2'
_cell_length_a 5.3141
_cell_length_b 5.3141
_cell_length_c 5.2722
_cell_angle_alpha 90.00
_cell_angle_beta 90.00
_cell_angle_gamma 90.00
loop_
_atom_site_label
_atom_site_fract_x
_atom_site_fract_y
_atom_site_fract_z
Al1 0.0000 0.0000 0.0000
Sb1 0.5000 0.5000 0.5000
P1 0.5000 0.5000 0.0000
Cl1 0.0000 0.5000 0.5000
```



2.
Mo2RhSe: relaxed, PBE-GGA.

Properties
uncorrected energy: -7.8187 eV per atom
energy relative to the elements, uncorrected: 0.3058 eV/atom

Geometry as CIF:
```
data_Mo2RhSe
_space_group_name_H-M_alt 'I -4 m 2'
_space_group_IT_number 119
_space_group_name_Hall 'I -4 -2'
_cell_length_a 3.8490
_cell_length_b 3.8490
_cell_length_c 8.3568
_cell_angle_alpha 90.00
_cell_angle_beta 90.00
_cell_angle_gamma 90.00
loop_
_atom_site_label
_atom_site_fract_x
_atom_site_fract_y
_atom_site_fract_z
Mo1 0.0000 0.0000 0.0000
Mo2 0.0000 0.5000 0.2500
Rh1 0.0000 0.5000 0.7500
Se1 0.0000 0.0000 0.5000
```



3.
BaYAg2: relaxed, PBE-GGA.

Properties
formation energy from the elements: 0.105 eV per atom
uncorrected energy: -3.4168 eV per atom

Geometry as CIF:
```
data_BaYAg2
_space_group_name_H-M_alt 'I -4 2 d'
_space_group_IT_number 122
_space_group_name_Hall 'I -4 2bw'
_cell_length_a 8.3704
_cell_length_b 8.3704
_cell_length_c 7.6491
_cell_angle_alpha 90.00
_cell_angle_beta 90.00
_cell_angle_gamma 90.00
loop_
_atom_site_label
_atom_site_fract_x
_atom_site_fract_y
_atom_site_fract_z
Ba1 0.0000 0.0000 0.0000
Y1 0.0000 0.0000 0.5000
Ag1 0.2135 0.7500 0.6250
```



4.
Mn2TeOs: relaxed, PBE-GGA.

Properties
uncorrected energy: -7.7529 eV per atom
energy relative to the elements, uncorrected: 0.4247 eV/atom

Geometry as CIF:
```
data_Mn2TeOs
_space_group_name_H-M_alt 'C m m m'
_space_group_IT_number 65
_space_group_name_Hall '-C 2 2'
_cell_length_a 5.3548
_cell_length_b 7.4527
_cell_length_c 3.1387
_cell_angle_alpha 90.00
_cell_angle_beta 90.00
_cell_angle_gamma 90.00
loop_
_atom_site_label
_atom_site_fract_x
_atom_site_fract_y
_atom_site_fract_z
Mn1 0.2500 0.2500 0.0000
Te1 0.0000 0.0000 0.5000
Os1 0.0000 0.5000 0.5000
```



5.
Mn5Rh: relaxed, PBE-GGA.

Properties
formation energy from the elements: 0.075 eV per atom
uncorrected energy: -8.7918 eV per atom

Geometry as CIF:
```
data_Mn5Rh
_space_group_name_H-M_alt 'F -4 3 m'
_space_group_IT_number 216
_space_group_name_Hall 'F -4 2 3'
_cell_length_a 6.5954
_cell_length_b 6.5954
_cell_length_c 6.5954
_cell_angle_alpha 90.00
_cell_angle_beta 90.00
_cell_angle_gamma 90.00
loop_
_atom_site_label
_atom_site_fract_x
_atom_site_fract_y
_atom_site_fract_z
Mn1 0.0000 0.0000 0.0000
Mn2 0.1245 0.1245 0.3755
Rh1 0.2500 0.2500 0.7500
```



6.
Al2AgPb: relaxed, PBE-GGA.

Properties
formation energy from the elements: 0.147 eV per atom
uncorrected energy: -3.3641 eV per atom

Geometry as CIF:
```
data_Al2AgPb
_space_group_name_H-M_alt 'C 1 2/m 1'
_space_group_IT_number 12
_cell_length_a 8.7857
_cell_length_b 3.3814
_cell_length_c 5.9893
_cell_angle_alpha 90.00
_cell_angle_beta 103.60
_cell_angle_gamma 90.00
loop_
_space_group_symop_operation_xyz
'x,y,z'
'-x,-y,-z'
'-x,y,-z'
'x,-y,z'
'x+1/2,y+1/2,z'
'-x+1/2,-y+1/2,-z'
'-x+1/2,y+1/2,-z'
'x+1/2,-y+1/2,z'
loop_
_atom_site_label
_atom_site_fract_x
_atom_site_fract_y
_atom_site_fract_z
Al1 0.2399 0.0000 0.1873
Ag1 0.0000 0.5000 0.0000
Pb1 0.0000 0.0000 0.5000
```



7.
K3TaF: relaxed, PBE-GGA.

Properties
uncorrected energy: -3.3470 eV per atom
energy relative to the elements, uncorrected: 0.0562 eV/atom

Geometry as CIF:
```
data_K3TaF
_space_group_name_H-M_alt 'P m -3 m'
_space_group_IT_number 221
_space_group_name_Hall '-P 4 2 3'
_cell_length_a 5.4889
_cell_length_b 5.4889
_cell_length_c 5.4889
_cell_angle_alpha 90.00
_cell_angle_beta 90.00
_cell_angle_gamma 90.00
loop_
_atom_site_label
_atom_site_fract_x
_atom_site_fract_y
_atom_site_fract_z
K1 0.0000 0.0000 0.5000
Ta1 0.5000 0.5000 0.5000
F1 0.0000 0.0000 0.0000
```



8.
Pr8YHo6: relaxed, PBE-GGA.

Properties
formation energy from the elements: 0.127 eV per atom
uncorrected energy: -4.6840 eV per atom

Geometry as CIF:
```
data_Pr8YHo6
_space_group_name_H-M_alt 'R -3'
_space_group_IT_number 148
_space_group_name_Hall '-R 3'
_cell_length_a 9.1794
_cell_length_b 9.1794
_cell_length_c 21.1004
_cell_angle_alpha 90.00
_cell_angle_beta 90.00
_cell_angle_gamma 120.00
loop_
_atom_site_label
_atom_site_fract_x
_atom_site_fract_y
_atom_site_fract_z
Pr1 0.0000 0.0000 0.0782
Pr2 0.0806 0.5592 0.3065
Y1 0.0000 0.0000 0.5000
Ho1 0.0444 0.2441 0.2052
```



9.
HfMg14C: relaxed, PBE-GGA.

Properties
formation energy from the elements: 0.292 eV per atom
uncorrected energy: -2.3015 eV per atom

Geometry as CIF:
```
data_HfMg14C
_space_group_name_H-M_alt 'P -6 m 2'
_space_group_IT_number 187
_space_group_name_Hall 'P -6 2'
_cell_length_a 6.3065
_cell_length_b 6.3065
_cell_length_c 9.7871
_cell_angle_alpha 90.00
_cell_angle_beta 90.00
_cell_angle_gamma 120.00
loop_
_atom_site_label
_atom_site_fract_x
_atom_site_fract_y
_atom_site_fract_z
Hf1 0.0000 0.0000 0.0000
Mg1 0.0145 0.5072 0.0000
Mg2 0.1544 0.3087 0.2677
Mg3 0.5050 0.0099 0.5000
Mg4 0.6667 0.3333 0.2389
C1 0.0000 0.0000 0.5000
```



10.
LiScTa3: relaxed, PBE-GGA.

Properties
formation energy from the elements: 1.035 eV per atom
uncorrected energy: -7.7255 eV per atom

Geometry as CIF:
```
data_LiScTa3
_space_group_name_H-M_alt 'P m -3 m'
_space_group_IT_number 221
_space_group_name_Hall '-P 4 2 3'
_cell_length_a 4.5275
_cell_length_b 4.5275
_cell_length_c 4.5275
_cell_angle_alpha 90.00
_cell_angle_beta 90.00
_cell_angle_gamma 90.00
loop_
_atom_site_label
_atom_site_fract_x
_atom_site_fract_y
_atom_site_fract_z
Li1 0.0000 0.0000 0.0000
Sc1 0.5000 0.5000 0.5000
Ta1 0.0000 0.0000 0.5000
```



11.
Pm4TlRu2: relaxed, PBE-GGA.

Properties
formation energy from the elements: -0.197 eV per atom
uncorrected energy: -5.9002 eV per atom

Geometry as CIF:
```
data_Pm4TlRu2
_space_group_name_H-M_alt 'P 1'
_space_group_IT_number 1
_cell_length_a 7.1577
_cell_length_b 7.2963
_cell_length_c 8.0450
_cell_angle_alpha 107.67
_cell_angle_beta 104.82
_cell_angle_gamma 102.83
loop_
_space_group_symop_operation_xyz
'x,y,z'
loop_
_atom_site_label
_atom_site_fract_x
_atom_site_fract_y
_atom_site_fract_z
Pm1 0.0000 0.0000 0.0000
Pm2 0.0242 0.5866 0.1924
Pm3 0.2636 0.3583 0.8276
Pm4 0.3588 0.0930 0.4296
Pm5 0.4502 0.7131 0.6650
Pm6 0.5833 0.1279 0.0923
Pm7 0.8470 0.9904 0.4384
Pm8 0.9050 0.5609 0.6129
Tl1 0.4976 0.5529 0.2681
Tl2 0.7331 0.2621 0.7971
Ru1 0.0953 0.3292 0.4010
Ru2 0.2010 0.9466 0.7076
Ru3 0.3220 0.7853 0.0554
Ru4 0.6742 0.6796 0.9912
```



12.
CdTc2Pt: relaxed, PBE-GGA.

Properties
formation energy from the elements: 0.220 eV per atom
uncorrected energy: -6.7025 eV per atom

Geometry as CIF:
```
data_CdTc2Pt
_space_group_name_H-M_alt 'I -4 m 2'
_space_group_IT_number 119
_space_group_name_Hall 'I -4 -2'
_cell_length_a 3.9959
_cell_length_b 3.9959
_cell_length_c 7.9500
_cell_angle_alpha 90.00
_cell_angle_beta 90.00
_cell_angle_gamma 90.00
loop_
_atom_site_label
_atom_site_fract_x
_atom_site_fract_y
_atom_site_fract_z
Cd1 0.0000 0.0000 0.0000
Tc1 0.0000 0.0000 0.5000
Tc2 0.0000 0.5000 0.2500
Pt1 0.0000 0.5000 0.7500
```



13.
TbY2Th3S6: relaxed, PBE-GGA.

Properties
uncorrected energy: -7.2889 eV per atom
energy relative to the elements, uncorrected: -1.9071 eV/atom

Geometry as CIF:
```
data_TbY2Th3S6
_space_group_name_H-M_alt 'C 1 2/m 1'
_space_group_IT_number 12
_cell_length_a 6.7985
_cell_length_b 11.6901
_cell_length_c 7.1011
_cell_angle_alpha 90.00
_cell_angle_beta 108.32
_cell_angle_gamma 90.00
loop_
_space_group_symop_operation_xyz
'x,y,z'
'-x,-y,-z'
'-x,y,-z'
'x,-y,z'
'x+1/2,y+1/2,z'
'-x+1/2,-y+1/2,-z'
'-x+1/2,y+1/2,-z'
'x+1/2,-y+1/2,z'
loop_
_atom_site_label
_atom_site_fract_x
_atom_site_fract_y
_atom_site_fract_z
Tb1 0.0000 0.0000 0.0000
Y1 0.0000 0.3334 0.0000
Th1 0.0000 0.1664 0.5000
Th2 0.0000 0.5000 0.5000
S1 0.2444 0.5000 0.2347
S2 0.2452 0.1670 0.2349
```